(w)
Hg2Mo | PBE | optimized geometry

Lattice parameters (Å, degrees): 5.1832 5.1832 14.9191 90.00 90.00 120.00
Space group R32 (No. 155, hexagonal axes)
Symmetry-distinct sites (fractional):
Hg 0.0000 0.0000 0.0000
Hg 0.0000 0.6739 0.5000
Mo 0.0000 0.0000 0.3309

Total magnetic moment (μB per atom): 0.000
Mass density (g/cm³): 14.3

(x)
Hg2Mo | PBE | optimized geometry

Lattice parameters (Å, degrees): 2.932 17.170 4.750 90.00 90.00 90.00
Space group Cmcm (No. 63)
Symmetry-distinct sites (fractional):
Hg 0.000 0.103 0.250
Hg 0.000 0.204 0.750
Mo 0.000 0.458 0.250

Total magnetic moment (μB per atom): 0.000
Mass density (g/cm³): 13.8

Stability, highest: (x)

(w)
Hg2Mo | PBE | optimized geometry

Lattice parameters (Å, degrees): 3.0271 3.0271 14.9632 90.00 90.00 120.00
Space group P-6m2 (No. 187)
Symmetry-distinct sites (fractional):
Hg 0.0000 0.0000 0.0000
Hg 0.0000 0.0000 0.3173
Hg 0.6667 0.3333 0.5000
Mo 0.6667 0.3333 0.1590

Total magnetic moment (μB per atom): 0.000
Mass density (g/cm³): 13.9

(x)
Hg2Mo | PBE | optimized geometry

Lattice parameters (Å, degrees): 6.583 6.583 6.583 90.00 90.00 90.00
Space group Fm-3m (No. 225)
Symmetry-distinct sites (fractional):
Hg 0.250 0.250 0.250
Mo 0.000 0.000 0.000

Total magnetic moment (μB per atom): 0.765
Mass density (g/cm³): 11.6

Stability, highest: (w)

(w)
Hg2Mo | PBE | optimized geometry

Lattice parameters (Å, degrees): 3.0249 3.0249 7.4220 90.00 90.00 120.00
Space group P-3m1 (No. 164)
Symmetry-distinct sites (fractional):
Hg 0.3333 0.6667 0.1810
Mo 0.0000 0.0000 0.5000

Total magnetic moment (μB per atom): 0.000
Mass density (g/cm³): 14.0

(x)
Hg2Mo | PBE | optimized geometry

Lattice parameters (Å, degrees): 8.3704 8.3704 2.9826 90.00 90.00 120.00
Space group P-62m (No. 189)
Symmetry-distinct sites (fractional):
Hg 0.0000 0.2929 0.0000
Hg 0.0000 0.6193 0.5000
Mo 0.0000 0.0000 0.5000
Mo 0.3333 0.6667 0.0000

Total magnetic moment (μB per atom): 0.436
Mass density (g/cm³): 13.7

(y)
Hg2Mo | PBE | optimized geometry

Lattice parameters (Å, degrees): 4.906 17.368 3.095 90.00 90.00 90.00
Space group Cmcm (No. 63)
Symmetry-distinct sites (fractional):
Hg 0.000 0.084 0.250
Hg 0.000 0.294 0.750
Mo 0.000 0.447 0.250

Total magnetic moment (μB per atom): 0.000
Mass density (g/cm³): 12.5

Stability, highest: (y)

(w)
Hg2Mo | PBE | optimized geometry

Lattice parameters (Å, degrees): 11.046 3.184 7.483 90.00 104.23 90.00
Space group Cm (No. 8)
Symmetry-distinct sites (fractional):
Hg 0.000 0.000 0.000
Hg 0.015 0.000 0.420
Hg 0.156 0.500 0.769
Hg 0.290 0.000 0.123
Mo 0.248 0.500 0.434
Mo 0.364 0.000 0.654

Total magnetic moment (μB per atom): 0.000
Mass density (g/cm³): 12.9

(x)
Hg2Mo | PBE | optimized geometry

Lattice parameters (Å, degrees): 4.224 4.224 26.584 90.00 90.00 90.00
Space group I4_1/amd (No. 141, origin choice 2)
Symmetry-distinct sites (fractional):
Hg 0.000 0.250 0.123
Hg 0.000 0.250 0.793
Mo 0.000 0.250 0.281

Total magnetic moment (μB per atom): 0.000
Mass density (g/cm³): 13.9

Stability, highest: (w)

(w)
Hg2Mo | PBE | optimized geometry

Lattice parameters (Å, degrees): 5.2564 5.2564 4.8895 90.00 90.00 120.00
Space group P-62m (No. 189)
Symmetry-distinct sites (fractional):
Hg 0.0000 0.0000 0.0000
Hg 0.0000 0.6328 0.5000
Mo 0.3333 0.6667 0.0000

Total magnetic moment (μB per atom): 0.000
Mass density (g/cm³): 14.1

(x)
Hg2Mo | PBE | optimized geometry

Lattice parameters (Å, degrees): 5.093 5.093 2.769 90.00 90.00 90.00
Space group P4/mmm (No. 123)
Symmetry-distinct sites (fractional):
Hg 0.000 0.500 0.000
Mo 0.000 0.000 0.500

Total magnetic moment (μB per atom): 0.248
Mass density (g/cm³): 11.5

Stability, highest: (x)

(w)
Hg3Mo4 | PBE | optimized geometry

Lattice parameters (Å, degrees): 3.316 3.316 23.527 90.00 90.00 90.00
Space group I4/mmm (No. 139)
Symmetry-distinct sites (fractional):
Hg 0.000 0.000 0.000
Hg 0.000 0.000 0.292
Mo 0.000 0.000 0.127
Mo 0.000 0.000 0.423

Total magnetic moment (μB per atom): 0.000
Mass density (g/cm³): 12.6

(x)
Hg3Mo4 | PBE | optimized geometry

Lattice parameters (Å, degrees): 5.4073 5.4073 5.0700 90.00 90.00 120.00
Space group P6/mmm (No. 191)
Symmetry-distinct sites (fractional):
Hg 0.0000 0.5000 0.0000
Mo 0.0000 0.0000 0.2856
Mo 0.3333 0.6667 0.5000

Total magnetic moment (μB per atom): 0.000
Mass density (g/cm³): 12.7

Stability, highest: (w)

(w)
Hg4Mo3 | PBE | optimized geometry

Lattice parameters (Å, degrees): 5.3745 5.3745 5.4767 90.00 90.00 120.00
Space group P6/mmm (No. 191)
Symmetry-distinct sites (fractional):
Hg 0.0000 0.0000 0.2499
Hg 0.3333 0.6667 0.0000
Mo 0.0000 0.5000 0.5000

Total magnetic moment (μB per atom): 0.000
Mass density (g/cm³): 13.2

(x)
Hg4Mo3 | PBE | optimized geometry

Lattice parameters (Å, degrees): 3.074 3.074 29.019 90.00 90.00 90.00
Space group I4/mmm (No. 139)
Symmetry-distinct sites (fractional):
Hg 0.000 0.000 0.069
Hg 0.000 0.000 0.348
Mo 0.000 0.000 0.226
Mo 0.000 0.000 0.500

Total magnetic moment (μB per atom): 0.000
Mass density (g/cm³): 13.2

Stability, highest: (x)

(w)
HgMo2N | PBE | optimized geometry

Lattice parameters (Å, degrees): 6.177 6.177 6.177 90.00 90.00 90.00
Space group Fm-3m (No. 225)
Symmetry-distinct sites (fractional):
Hg 0.000 0.000 0.000
Mo 0.250 0.250 0.250
N 0.000 0.000 0.500

Total magnetic moment (μB per atom): 0.000
Mass density (g/cm³): 11.5

(x)
HgMo2N | PBE | optimized geometry

Lattice parameters (Å, degrees): 5.172 5.172 11.115 90.00 90.00 90.00
Space group I-42d (No. 122)
Symmetry-distinct sites (fractional):
Hg 0.000 0.000 0.000
Mo 0.104 0.250 0.625
N 0.000 0.000 0.500

Total magnetic moment (μB per atom): 0.202
Mass density (g/cm³): 9.1

Stability, highest: (x)

(w)
HgMoSe2N | PBE | optimized geometry

Lattice parameters (Å, degrees): 5.139 5.139 3.823 90.00 90.00 90.00
Space group P4/mmm (No. 123)
Symmetry-distinct sites (fractional):
Hg 0.000 0.000 0.000
Mo 0.500 0.500 0.500
Se 0.000 0.500 0.500
N 0.500 0.500 0.000

Total magnetic moment (μB per atom): 0.000
Mass density (g/cm³): 7.7

(x)
HgMoSe2N | PBE | optimized geometry

Lattice parameters (Å, degrees): 5.359 5.359 4.038 90.00 90.00 90.00
Space group P4/mmm (No. 123)
Symmetry-distinct sites (fractional):
Hg 0.000 0.000 0.000
Mo 0.500 0.500 0.500
Se 0.000 0.500 0.000
N 0.000 0.000 0.500

Total magnetic moment (μB per atom): 1.082
Mass density (g/cm³): 6.7

Stability, highest: (w)

(w)
Na3HgMo | PBE | optimized geometry

Lattice parameters (Å, degrees): 6.071 6.071 6.071 90.00 90.00 90.00
Space group Pm-3m (No. 221)
Symmetry-distinct sites (fractional):
Na 0.000 0.000 0.500
Hg 0.500 0.500 0.500
Mo 0.000 0.000 0.000

Total magnetic moment (μB per atom): 1.102
Mass density (g/cm³): 2.7

(x)
Na3HgMo | PBE | optimized geometry

Lattice parameters (Å, degrees): 5.640 5.640 5.640 90.00 90.00 90.00
Space group Pm-3m (No. 221)
Symmetry-distinct sites (fractional):
Na 0.000 0.000 0.500
Hg 0.000 0.000 0.000
Mo 0.500 0.500 0.500

Total magnetic moment (μB per atom): 1.000
Mass density (g/cm³): 3.4

Stability, highest: (x)